No. 1
The following is a GGA-PBE calculation of Na3Tm2BiO6 after structural relaxation, from the Alexandria database.

Properties
* symmetry: C2/m
* raw formation energy: -2.36 eV/atom
* V: 14.2 A^3/atom
* mass density: 6.91 Mg/m³

Lattice parameters (Å, degrees): 5.9322 5.9322 5.9508 99.60 99.60 120.00
Last column: nearest neighbours and their distance in Å.
Element x y z (fractional)
1 Na 0.0000 0.0000 0.0000  6 O 2.46-2.59
2 Na 0.3325 0.6675 0.0000  6 O 2.46-2.59
3 Na 0.6675 0.3325 0.0000  6 O 2.46-2.59
4 Tm 0.1667 0.8333 0.5000  6 O 2.27
5 Tm 0.8333 0.1667 0.5000  6 O 2.27
6 Bi 0.5000 0.5000 0.5000  6 O 2.41-2.42
7 O 0.0767 0.4286 0.2864  2 Tm 2.27, 1 Bi 2.41, 1 Na 2.46
8 O 0.2199 0.2199 0.7159  2 Tm 2.27, 1 Bi 2.42, 1 Na 2.46
9 O 0.4286 0.0767 0.2864  2 Tm 2.27, 1 Bi 2.41, 1 Na 2.46
10 O 0.5714 0.9233 0.7136  2 Tm 2.27, 1 Bi 2.41, 1 Na 2.46
11 O 0.7801 0.7801 0.2841  2 Tm 2.27, 1 Bi 2.42, 1 Na 2.46
12 O 0.9233 0.5714 0.7136  2 Tm 2.27, 1 Bi 2.41, 1 Na 2.46

---

No. 2
The following is a GGA-PBE calculation of AcPmYTm after structural relaxation, from the Alexandria database.

Properties
* symmetry: F-43m
* energy of formation from the pure elements: 0.4 eV/f.u.
* excess energy over the best structure of this formula in the dataset: 0.0 meV per atom
* V: 35.5 A^3/atom
* mass density: 7.37 Mg/m³

Lattice parameters (Å, degrees): 5.8543 5.8543 5.8543 60.00 60.00 60.00
Last column: nearest neighbours and their distance in Å.
Element x y z (fractional)
1 Ac 0.0000 0.0000 0.0000  4 Y 3.59, 4 Tm 3.59
2 Pm 0.5000 0.5000 0.5000  4 Y 3.59, 4 Tm 3.59
3 Y 0.7500 0.7500 0.7500  4 Pm 3.59, 4 Ac 3.59
4 Tm 0.2500 0.2500 0.2500  4 Ac 3.59, 4 Pm 3.59